Density functional theory data (PBE) for a geometry-optimized NbAlZnCo structure.

a b c (Å): 4.3262 4.3262 4.3262
angles (deg): 60.00 60.00 60.00
Last column: magnetic moment on the atom in μB.
Sites, in units of the cell vectors:
Al: 0.0000 0.0000 0.0000  0.01
Co: 0.7500 0.7500 0.7500  0.87
Nb: 0.2500 0.2500 0.2500  0.59
Zn: 0.5000 0.5000 0.5000  -0.01

Values from the calculation:
symmetry: F-43m (216)
E above lowest polymorph: 19.52 kJ/mol of atoms
total magnetic moment: 0.37 μB per atom